# 1
ZnCu5Pd2: optimized geometry, PBE-GGA.

Values from the calculation:
* formation energy: -0.190 eV/atom
* space group: No. 55

abc: 5.3102 10.6094 3.7170
angles: 90.00 90.00 90.00
Element x y z (fractional)
Zn1 0.0000 0.0000 0.0000
Zn2 0.5000 0.5000 0.0000
Cu1 0.0000 0.5000 0.0000
Cu2 0.0093 0.2518 0.0000
Cu3 0.2390 0.6284 0.5000
Cu4 0.2610 0.1284 0.5000
Cu5 0.4907 0.7518 0.0000
Cu6 0.5000 0.0000 0.0000
Cu7 0.5093 0.2482 0.0000
Cu8 0.7390 0.8716 0.5000
Cu9 0.7610 0.3716 0.5000
Cu10 0.9907 0.7482 0.0000
Pd1 0.2411 0.8771 0.5000
Pd2 0.2589 0.3771 0.5000
Pd3 0.7411 0.6229 0.5000
Pd4 0.7589 0.1229 0.5000



# 2
Zn2Cu6Pd: optimized geometry, PBE-GGA.

Values from the calculation:
* formation energy: -0.086 eV/atom
* offset from the most stable computed form: 0.041 eV/atom
* space group: No. 12

abc: 6.7374 6.7374 2.7590
angles: 101.54 101.54 72.47
Element x y z (fractional)
Zn1 0.1668 0.1668 0.1668
Zn2 0.8332 0.8332 0.8332
Cu1 0.1609 0.5017 0.8312
Cu2 0.1662 0.8338 0.5000
Cu3 0.4983 0.8391 0.1688
Cu4 0.5017 0.1609 0.8312
Cu5 0.8338 0.1662 0.5000
Cu6 0.8391 0.4983 0.1688
Pd1 0.5000 0.5000 0.5000



# 3
ZnCu4Pd7: optimized geometry, PBE-GGA.

Values from the calculation:
* formation energy: 0.108 eV/atom
* offset from the most stable computed form: 0.268 eV/atom
* space group: No. 12

abc: 6.2223 6.2223 8.9812
angles: 123.98 123.98 43.04
Element x y z (fractional)
Zn1 0.0000 0.0000 0.0000
Cu1 0.2974 0.2974 0.6585
Cu2 0.4352 0.4352 0.2216
Cu3 0.5648 0.5648 0.7784
Cu4 0.7026 0.7026 0.3415
Pd1 0.0718 0.0718 0.3299
Pd2 0.2176 0.2176 0.8744
Pd3 0.3488 0.3488 0.4151
Pd4 0.5000 0.5000 0.0000
Pd5 0.6512 0.6512 0.5849
Pd6 0.7824 0.7824 0.1256
Pd7 0.9282 0.9282 0.6701



# 4
ZnCu3Pd4: optimized geometry, PBE-GGA.

Values from the calculation:
* formation energy: -0.267 eV/atom
* space group: No. 139

abc: 6.7617 6.7617 6.7617
angles: 142.99 142.99 53.34
Element x y z (fractional)
Zn1 0.0000 0.0000 0.0000
Cu1 0.2514 0.2514 0.0000
Cu2 0.5000 0.5000 0.0000
Cu3 0.7486 0.7486 0.0000
Pd1 0.1251 0.6251 0.5000
Pd2 0.3749 0.8749 0.5000
Pd3 0.6251 0.1251 0.5000
Pd4 0.8749 0.3749 0.5000



# 5
Zn6CuPd: optimized geometry, PBE-GGA.

Values from the calculation:
* formation energy: -0.151 eV/atom
* offset from the most stable computed form: 0.005 eV/atom
* space group: No. 166

abc: 7.5180 7.5180 7.5180
angles: 33.26 33.26 33.26
Element x y z (fractional)
Zn1 0.1224 0.1224 0.1224
Zn2 0.2485 0.2485 0.2485
Zn3 0.3731 0.3731 0.3731
Zn4 0.6269 0.6269 0.6269
Zn5 0.7515 0.7515 0.7515
Zn6 0.8776 0.8776 0.8776
Cu1 0.0000 0.0000 0.0000
Pd1 0.5000 0.5000 0.5000



# 6
Zn8Cu2Pd: optimized geometry, PBE-GGA.

Values from the calculation:
* formation energy: -0.053 eV/atom
* offset from the most stable computed form: 0.065 eV/atom
* space group: No. 12

abc: 6.8241 6.8241 4.4578
angles: 101.23 101.23 120.37
Element x y z (fractional)
Zn1 0.0943 0.3199 0.6416
Zn2 0.2176 0.7824 0.0000
Zn3 0.3199 0.0943 0.6416
Zn4 0.4048 0.4048 0.2028
Zn5 0.5952 0.5952 0.7972
Zn6 0.6801 0.9057 0.3584
Zn7 0.7824 0.2176 0.0000
Zn8 0.9057 0.6801 0.3584
Cu1 0.3046 0.6954 0.5000
Cu2 0.6954 0.3046 0.5000
Pd1 0.0000 0.0000 0.0000



# 7
Zn5CuPd6: optimized geometry, PBE-GGA.

Values from the calculation:
* formation energy: -0.511 eV/atom
* space group: No. 65

abc: 6.5642 6.5642 6.6693
angles: 90.00 90.00 143.14
Element x y z (fractional)
Zn1 0.0000 0.0000 0.0000
Zn2 0.3328 0.6672 0.0000
Zn3 0.3380 0.6620 0.5000
Zn4 0.6620 0.3380 0.5000
Zn5 0.6672 0.3328 0.0000
Cu1 0.0000 0.0000 0.5000
Pd1 0.1674 0.8326 0.2516
Pd2 0.1674 0.8326 0.7484
Pd3 0.5000 0.5000 0.2464
Pd4 0.5000 0.5000 0.7536
Pd5 0.8326 0.1674 0.2516
Pd6 0.8326 0.1674 0.7484



# 8
ZnCu4Pd4: optimized geometry, PBE-GGA.

Values from the calculation:
* formation energy: -0.195 eV/atom
* space group: No. 139

abc: 5.9529 5.9529 5.9529
angles: 96.21 96.21 141.61
Element x y z (fractional)
Zn1 0.0000 0.0000 0.0000
Cu1 0.3353 0.3353 0.6705
Cu2 0.3353 0.6647 0.0000
Cu3 0.6647 0.3353 0.0000
Cu4 0.6647 0.6647 0.3295
Pd1 0.0000 0.3217 0.3217
Pd2 0.0000 0.6783 0.6783
Pd3 0.3217 0.0000 0.3217
Pd4 0.6783 0.0000 0.6783



# 9
ZnCu2Pd2: optimized geometry, PBE-GGA.

Values from the calculation:
* formation energy: -0.065 eV/atom
* offset from the most stable computed form: 0.099 eV/atom
* space group: No. 127

abc: 6.6252 6.6252 3.4431
angles: 90.00 90.00 90.00
Element x y z (fractional)
Zn1 0.0000 0.0000 0.0000
Zn2 0.5000 0.5000 0.0000
Cu1 0.1505 0.3495 0.5000
Cu2 0.3495 0.8495 0.5000
Cu3 0.6505 0.1505 0.5000
Cu4 0.8495 0.6505 0.5000
Pd1 0.1462 0.6462 0.0000
Pd2 0.3538 0.1462 0.0000
Pd3 0.6462 0.8538 0.0000
Pd4 0.8538 0.3538 0.0000



# 10
Zn8CuPd2: optimized geometry, PBE-GGA.

Values from the calculation:
* formation energy: -0.248 eV/atom
* offset from the most stable computed form: 0.000 eV/atom
* space group: No. 2

abc: 4.6573 4.8310 7.1163
angles: 96.76 91.96 97.13
Element x y z (fractional)
Zn1 0.0427 0.2652 0.0889
Zn2 0.2250 0.3593 0.4535
Zn3 0.3267 0.9149 0.6442
Zn4 0.4117 0.4532 0.8225
Zn5 0.5883 0.5468 0.1775
Zn6 0.6733 0.0851 0.3558
Zn7 0.7750 0.6407 0.5465
Zn8 0.9573 0.7348 0.9111
Cu1 0.5000 0.0000 0.0000
Pd1 0.1320 0.8145 0.2782
Pd2 0.8680 0.1855 0.7218



# 11
ZnCu4Pd7: optimized geometry, PBE-GGA.

Values from the calculation:
* formation energy: -0.160 eV/atom
* offset from the most stable computed form: 0.000 eV/atom
* space group: No. 164

abc: 4.3105 4.3105 10.6090
angles: 90.00 90.00 120.00
Element x y z (fractional)
Zn1 0.0000 0.0000 0.0000
Cu1 0.3333 0.6667 0.1713
Cu2 0.3333 0.6667 0.4085
Cu3 0.6667 0.3333 0.5915
Cu4 0.6667 0.3333 0.8287
Pd1 0.0000 0.0000 0.2394
Pd2 0.0000 0.0000 0.5000
Pd3 0.0000 0.0000 0.7606
Pd4 0.3333 0.6667 0.6533
Pd5 0.3333 0.6667 0.9186
Pd6 0.6667 0.3333 0.0814
Pd7 0.6667 0.3333 0.3467



# 12
Zn3Cu5Pd: optimized geometry, PBE-GGA.

Values from the calculation:
* formation energy: 0.143 eV/atom
* space group: No. 12

abc: 5.2682 5.2682 10.1557
angles: 100.39 100.39 76.43
Element x y z (fractional)
Zn1 0.0000 0.0000 0.0000
Zn2 0.0000 0.0000 0.5000
Zn3 0.2252 0.2252 0.8755
Zn4 0.3205 0.3205 0.5022
Zn5 0.6795 0.6795 0.4978
Zn6 0.7748 0.7748 0.1245
Cu1 0.0788 0.5909 0.3208
Cu2 0.2899 0.2899 0.1220
Cu3 0.3331 0.6669 0.0000
Cu4 0.4091 0.9212 0.6792
Cu5 0.4363 0.4363 0.7421
Cu6 0.5637 0.5637 0.2579
Cu7 0.5909 0.0788 0.3208
Cu8 0.6669 0.3331 0.0000
Cu9 0.7101 0.7101 0.8780
Cu10 0.9212 0.4091 0.6792
Pd1 0.0768 0.0768 0.2710
Pd2 0.9232 0.9232 0.7290



| no. | Fermi-level density of states (states/eV/f.u.) |
| --- | --- |
| 1 | 2.57 |
| 2 | 2.63 |
| 3 | 11.22 |
| 4 | 2.25 |
| 5 | 1.85 |
| 6 | 2.91 |
| 7 | 2.74 |
| 8 | 3.42 |
| 9 | 0.78 |
| 10 | 2.66 |
| 11 | 9.28 |
| 12 | 2.52 |